(w)
Below is a geometry-optimized Sc2BeCl structure, with properties calculated at the PBE level.

a = 4.9578 Å, b = 4.9578 Å, c = 4.9578 Å
α = 135.76°, β = 112.08°, γ = 84.70°
Last column: nearest neighbours and their distance in Å.
Fractional positions:
Sc 0.0101 0.0101 0.0000  2 Cl 2.56, 2 Be 2.67
Sc 0.4899 0.4899 0.0000  2 Cl 2.56, 2 Be 2.67
Be 0.7500 0.2500 0.5000  4 Sc 2.67
Cl 0.2500 0.7500 0.5000  4 Sc 2.56

(x)
Below is a geometry-optimized Sc2BeCl structure, with properties calculated at the PBE level.

a = 3.1609 Å, b = 3.1610 Å, c = 9.4339 Å
α = 90.00°, β = 90.00°, γ = 90.02°
Last column: nearest neighbours and their distance in Å.
Fractional positions:
Be 0.0000 0.0000 0.4198  4 Sc 2.71-2.72
Sc 0.5000 0.5000 0.2564  4 Be 2.71-2.72
Sc 0.0000 0.0000 0.9923  4 Cl 2.70
Cl 0.5000 0.5000 0.8315  4 Sc 2.70

Energy comparison, zero being the most stable, in meV/atom: (w) 23; (x) 0.